[1]
PBE ScNi7H12, optimized geometry; calculated total energy = -4.45 eV/atom; SG = Im-3 (204)
1.0
-3.1953 3.1953 3.1953
3.1953 -3.1953 3.1953
3.1953 3.1953 -3.1953
Sc Ni H
1 7 12
direct
0.0000 0.0000 0.0000
0.0000 0.0000 0.5000
0.0000 0.5000 0.0000
0.0000 0.5000 0.5000
0.5000 0.0000 0.0000
0.5000 0.0000 0.5000
0.5000 0.5000 0.0000
0.5000 0.5000 0.5000
0.1262 0.8203 0.3059
0.1797 0.3059 0.4857
0.1797 0.6941 0.8738
0.3059 0.1262 0.8203
0.3059 0.4857 0.1797
0.4857 0.1797 0.3059
0.5143 0.8203 0.6941
0.6941 0.5143 0.8203
0.6941 0.8738 0.1797
0.8203 0.3059 0.1262
0.8203 0.6941 0.5143
0.8738 0.1797 0.6941

***

[2]
PBE Sr3CaPd8, optimized geometry; SG = R3m (160); DFT formation energy = -0.64 eV/atom
1.0
2.7908 1.6112 9.0799
-2.7908 1.6112 9.0799
0.0000 -3.2225 9.0799
Sr Ca Pd
3 1 8
direct
0.0000 0.0000 0.0000
0.1258 0.1258 0.1258
0.5021 0.5021 0.5021
0.6267 0.6267 0.6267
0.0612 0.5632 0.5632
0.0642 0.0642 0.5650
0.0642 0.5650 0.0642
0.3133 0.3133 0.3133
0.5632 0.0612 0.5632
0.5632 0.5632 0.0612
0.5650 0.0642 0.0642
0.8136 0.8136 0.8136